A) Density functional theory data (PBE) for a relaxed CePrCu4 crystal.

Cell and atoms, written as CIF:
```
data_CePrCu4
_chemical_formula_sum 'Ce1 Pr1 Cu4'
_symmetry_space_group_name_H-M 'P 1'
_symmetry_Int_Tables_number 1
_cell_length_a 5.338
_cell_length_b 5.338
_cell_length_c 5.338
_cell_angle_alpha 60.00
_cell_angle_beta 60.00
_cell_angle_gamma 60.00
loop_
_symmetry_equiv_pos_as_xyz
'x,y,z'
loop_
_atom_site_label
_atom_site_type_symbol
_atom_site_fract_x
_atom_site_fract_y
_atom_site_fract_z
Pr1 Pr 0.000 0.000 0.000
Cu1 Cu 0.625 0.625 0.125
Cu2 Cu 0.625 0.125 0.625
Cu3 Cu 0.625 0.625 0.625
Cu4 Cu 0.125 0.625 0.625
Ce1 Ce 0.250 0.250 0.250
```

Values from the calculation:
- Size of the total moment: 1.03 Bohr magnetons per cell

B) Density functional theory data (PBE) for a relaxed CePrCu4 crystal.

Cell and atoms, written as CIF:
```
data_CePrCu4
_chemical_formula_sum 'Ce1 Pr1 Cu4'
_symmetry_space_group_name_H-M 'P 1'
_symmetry_Int_Tables_number 1
_cell_length_a 3.949
_cell_length_b 3.949
_cell_length_c 8.264
_cell_angle_alpha 103.82
_cell_angle_beta 103.82
_cell_angle_gamma 90.00
loop_
_symmetry_equiv_pos_as_xyz
'x,y,z'
loop_
_atom_site_label
_atom_site_type_symbol
_atom_site_fract_x
_atom_site_fract_y
_atom_site_fract_z
Ce1 Ce 0.000 0.000 0.000
Pr1 Pr 0.250 0.750 0.500
Cu1 Cu 0.669 0.169 0.339
Cu2 Cu 0.579 0.579 0.158
Cu3 Cu 0.831 0.331 0.661
Cu4 Cu 0.421 0.421 0.842
```

Values from the calculation:
- Size of the total moment: 0.93 Bohr magnetons per cell

Which one sits at the bottom of the stability order? A) does.

A) Density functional theory data (PBE) for a relaxed CeCu2Pt4 crystal.

Cell and atoms, written as CIF:
```
data_CeCu2Pt4
_chemical_formula_sum 'Ce1 Cu2 Pt4'
_symmetry_space_group_name_H-M 'P 1'
_symmetry_Int_Tables_number 1
_cell_length_a 5.250
_cell_length_b 5.415
_cell_length_c 5.415
_cell_angle_alpha 76.25
_cell_angle_beta 60.79
_cell_angle_gamma 60.79
loop_
_symmetry_equiv_pos_as_xyz
'x,y,z'
loop_
_atom_site_label
_atom_site_type_symbol
_atom_site_fract_x
_atom_site_fract_y
_atom_site_fract_z
Pt1 Pt 0.704 0.592 0.000
Pt2 Pt 0.296 0.408 0.000
Pt3 Pt 0.704 0.000 0.592
Pt4 Pt 0.296 0.000 0.408
Cu1 Cu 0.750 0.501 0.501
Cu2 Cu 0.250 0.499 0.499
Ce1 Ce 0.000 0.000 0.000
```

Values from the calculation:
- Size of the total moment: 0.00 Bohr magnetons per cell

B) Density functional theory data (PBE) for a relaxed CeCu2Pt4 crystal.

Cell and atoms, written as CIF:
```
data_CeCu2Pt4
_chemical_formula_sum 'Ce1 Cu2 Pt4'
_symmetry_space_group_name_H-M 'P 1'
_symmetry_Int_Tables_number 1
_cell_length_a 6.142
_cell_length_b 6.142
_cell_length_c 6.142
_cell_angle_alpha 98.93
_cell_angle_beta 98.93
_cell_angle_gamma 133.60
loop_
_symmetry_equiv_pos_as_xyz
'x,y,z'
loop_
_atom_site_label
_atom_site_type_symbol
_atom_site_fract_x
_atom_site_fract_y
_atom_site_fract_z
Ce1 Ce 0.000 0.000 0.000
Cu1 Cu 0.250 0.750 0.500
Cu2 Cu 0.750 0.250 0.500
Pt1 Pt 0.729 0.500 0.229
Pt2 Pt 0.500 0.729 0.229
Pt3 Pt 0.500 0.271 0.771
Pt4 Pt 0.271 0.500 0.771
```

Values from the calculation:
- Size of the total moment: 0.45 Bohr magnetons per cell

Which one sits at the bottom of the stability order? B) does.

A) Density functional theory data (PBE) for a relaxed CeSmCuPt crystal.

Cell and atoms, written as CIF:
```
data_CeSmCuPt
_chemical_formula_sum 'Ce1 Sm1 Cu1 Pt1'
_symmetry_space_group_name_H-M 'P 1'
_symmetry_Int_Tables_number 1
_cell_length_a 5.035
_cell_length_b 5.035
_cell_length_c 5.035
_cell_angle_alpha 60.00
_cell_angle_beta 60.00
_cell_angle_gamma 60.00
loop_
_symmetry_equiv_pos_as_xyz
'x,y,z'
loop_
_atom_site_label
_atom_site_type_symbol
_atom_site_fract_x
_atom_site_fract_y
_atom_site_fract_z
Ce1 Ce 0.250 0.250 0.250
Sm1 Sm 0.750 0.750 0.750
Pt1 Pt 0.500 0.500 0.500
Cu1 Cu 0.000 0.000 0.000
```

Values from the calculation:
- Size of the total moment: 0.81 Bohr magnetons per cell

B) Density functional theory data (PBE) for a relaxed CeSmCuPt crystal.

Cell and atoms, written as CIF:
```
data_CeSmCuPt
_chemical_formula_sum 'Ce1 Sm1 Cu1 Pt1'
_symmetry_space_group_name_H-M 'P 1'
_symmetry_Int_Tables_number 1
_cell_length_a 3.848
_cell_length_b 4.580
_cell_length_c 5.634
_cell_angle_alpha 90.00
_cell_angle_beta 109.97
_cell_angle_gamma 90.00
loop_
_symmetry_equiv_pos_as_xyz
'x,y,z'
loop_
_atom_site_label
_atom_site_type_symbol
_atom_site_fract_x
_atom_site_fract_y
_atom_site_fract_z
Ce1 Ce 0.862 0.500 0.724
Sm1 Sm 0.140 0.000 0.280
Cu1 Cu 0.421 0.000 0.843
Pt1 Pt 0.577 0.500 0.153
```

Values from the calculation:
- Size of the total moment: 0.83 Bohr magnetons per cell

Which one sits at the bottom of the stability order? A) does.

A) Density functional theory data (PBE) for a relaxed TbCeCuPt crystal.

Cell and atoms, written as CIF:
```
data_TbCeCuPt
_chemical_formula_sum 'Tb1 Ce1 Cu1 Pt1'
_symmetry_space_group_name_H-M 'P 1'
_symmetry_Int_Tables_number 1
_cell_length_a 4.996
_cell_length_b 4.996
_cell_length_c 4.996
_cell_angle_alpha 60.00
_cell_angle_beta 60.00
_cell_angle_gamma 60.00
loop_
_symmetry_equiv_pos_as_xyz
'x,y,z'
loop_
_atom_site_label
_atom_site_type_symbol
_atom_site_fract_x
_atom_site_fract_y
_atom_site_fract_z
Cu1 Cu 0.250 0.250 0.250
Tb1 Tb 0.000 0.000 0.000
Ce1 Ce 0.500 0.500 0.500
Pt1 Pt 0.750 0.750 0.750
```

Values from the calculation:
- Size of the total moment: 0.78 Bohr magnetons per cell

B) Density functional theory data (PBE) for a relaxed TbCeCuPt crystal.

Cell and atoms, written as CIF:
```
data_TbCeCuPt
_chemical_formula_sum 'Tb1 Ce1 Cu1 Pt1'
_symmetry_space_group_name_H-M 'P 1'
_symmetry_Int_Tables_number 1
_cell_length_a 3.789
_cell_length_b 4.544
_cell_length_c 5.607
_cell_angle_alpha 90.00
_cell_angle_beta 109.75
_cell_angle_gamma 90.00
loop_
_symmetry_equiv_pos_as_xyz
'x,y,z'
loop_
_atom_site_label
_atom_site_type_symbol
_atom_site_fract_x
_atom_site_fract_y
_atom_site_fract_z
Tb1 Tb 0.139 0.000 0.278
Ce1 Ce 0.861 0.500 0.723
Cu1 Cu 0.420 0.000 0.840
Pt1 Pt 0.579 0.500 0.159
```

Values from the calculation:
- Size of the total moment: 0.71 Bohr magnetons per cell

Which one sits at the bottom of the stability order? A) does.

A) Density functional theory data (PBE) for a relaxed CePu2Cu crystal.

Cell and atoms, written as CIF:
```
data_CePu2Cu
_chemical_formula_sum 'Ce1 Pu2 Cu1'
_symmetry_space_group_name_H-M 'P 1'
_symmetry_Int_Tables_number 1
_cell_length_a 3.525
_cell_length_b 3.525
_cell_length_c 7.273
_cell_angle_alpha 90.00
_cell_angle_beta 90.00
_cell_angle_gamma 90.00
loop_
_symmetry_equiv_pos_as_xyz
'x,y,z'
loop_
_atom_site_label
_atom_site_type_symbol
_atom_site_fract_x
_atom_site_fract_y
_atom_site_fract_z
Cu1 Cu 0.500 0.500 0.000
Ce1 Ce 0.500 0.500 0.500
Pu1 Pu 0.000 0.000 0.780
Pu2 Pu 0.000 0.000 0.220
```

Values from the calculation:
- Size of the total moment: 11.45 Bohr magnetons per cell

B) Density functional theory data (PBE) for a relaxed CePu2Cu crystal.

Cell and atoms, written as CIF:
```
data_CePu2Cu
_chemical_formula_sum 'Ce1 Pu2 Cu1'
_symmetry_space_group_name_H-M 'P 1'
_symmetry_Int_Tables_number 1
_cell_length_a 3.960
_cell_length_b 3.960
_cell_length_c 8.788
_cell_angle_alpha 76.98
_cell_angle_beta 76.98
_cell_angle_gamma 60.00
loop_
_symmetry_equiv_pos_as_xyz
'x,y,z'
loop_
_atom_site_label
_atom_site_type_symbol
_atom_site_fract_x
_atom_site_fract_y
_atom_site_fract_z
Cu1 Cu 0.000 0.000 0.000
Ce1 Ce 0.500 0.500 0.500
Pu1 Pu 0.108 0.108 0.675
Pu2 Pu 0.892 0.892 0.325
```

Values from the calculation:
- Size of the total moment: 11.52 Bohr magnetons per cell

Which one sits at the bottom of the stability order? B) does.

A) Density functional theory data (PBE) for a relaxed CePu2Cu crystal.

Cell and atoms, written as CIF:
```
data_CePu2Cu
_chemical_formula_sum 'Ce1 Pu2 Cu1'
_symmetry_space_group_name_H-M 'P 1'
_symmetry_Int_Tables_number 1
_cell_length_a 5.001
_cell_length_b 5.001
_cell_length_c 5.001
_cell_angle_alpha 60.00
_cell_angle_beta 60.00
_cell_angle_gamma 60.00
loop_
_symmetry_equiv_pos_as_xyz
'x,y,z'
loop_
_atom_site_label
_atom_site_type_symbol
_atom_site_fract_x
_atom_site_fract_y
_atom_site_fract_z
Cu1 Cu 0.000 0.000 0.000
Ce1 Ce 0.500 0.500 0.500
Pu1 Pu 0.250 0.250 0.250
Pu2 Pu 0.750 0.750 0.750
```

Values from the calculation:
- Size of the total moment: 12.97 Bohr magnetons per cell

B) Density functional theory data (PBE) for a relaxed CePu2Cu crystal.

Cell and atoms, written as CIF:
```
data_CePu2Cu
_chemical_formula_sum 'Ce1 Pu2 Cu1'
_symmetry_space_group_name_H-M 'P 1'
_symmetry_Int_Tables_number 1
_cell_length_a 4.845
_cell_length_b 4.407
_cell_length_c 4.407
_cell_angle_alpha 90.00
_cell_angle_beta 90.00
_cell_angle_gamma 90.00
loop_
_symmetry_equiv_pos_as_xyz
'x,y,z'
loop_
_atom_site_label
_atom_site_type_symbol
_atom_site_fract_x
_atom_site_fract_y
_atom_site_fract_z
Cu1 Cu 0.500 0.500 0.500
Ce1 Ce 0.500 0.000 0.000
Pu1 Pu 0.000 0.000 0.500
Pu2 Pu 0.000 0.500 0.000
```

Values from the calculation:
- Size of the total moment: 12.85 Bohr magnetons per cell

Which one sits at the bottom of the stability order? B) does.